No. 1
Computed, not measured: Tm3Mg3AlAu2 after structural relaxation at the PBE level of DFT.

a b c (Å): 7.5048 7.5048 4.1533
angles (deg): 90.00 90.00 120.00
With the nearest neighbours (Å) after each atom.
Sites, in units of the cell vectors:
1 Al 0.0000 0.0000 0.0000  6 Mg 2.79
2 Au 0.6667 0.3333 0.5000  3 Mg 2.87, 6 Tm 3.06
3 Au 0.3333 0.6667 0.5000  3 Mg 2.87, 6 Tm 3.06
4 Mg 0.2486 0.0000 0.5000  2 Al 2.79, 2 Au 2.87
5 Mg 0.0000 0.2486 0.5000  2 Al 2.79, 2 Au 2.87
6 Mg 0.7514 0.7514 0.5000  2 Al 2.79, 2 Au 2.87
7 Tm 0.5817 0.0000 0.0000  4 Au 3.06, 1 Al 3.14, 2 Mg 3.25
8 Tm 0.4183 0.4183 0.0000  4 Au 3.06, 1 Al 3.14, 2 Mg 3.25
9 Tm 0.0000 0.5817 0.0000  4 Au 3.06, 1 Al 3.14, 2 Mg 3.25

Magnetization   0.00 μB/atom
Raw total energy   -33.09 eV for the cell shown
Symmetry   P-62m (189)

No. 2
Computed, not measured: NbZnPd after structural relaxation at the PBE level of DFT.

a b c (Å): 4.3375 4.3375 4.3375
angles (deg): 60.00 60.00 60.00
With the nearest neighbours (Å) after each atom.
Sites, in units of the cell vectors:
1 Nb 0.0000 0.0000 0.0000  4 Pd 2.66, 4 Zn 2.66
2 Pd 0.2500 0.2500 0.2500  4 Nb 2.66
3 Zn 0.7500 0.7500 0.7500  4 Nb 2.66

Magnetization   0.06 μB/atom
Raw total energy   -15.38 eV for the cell shown
Symmetry   F-43m (216)

No. 3
Computed, not measured: TaBeTe after structural relaxation at the PBE level of DFT.

a b c (Å): 4.2604 4.2604 4.2604
angles (deg): 60.00 60.00 60.00
With the nearest neighbours (Å) after each atom.
Sites, in units of the cell vectors:
1 Be 0.0000 0.0000 0.0000  4 Ta 2.61, 4 Te 2.61
2 Ta 0.2500 0.2500 0.2500  4 Be 2.61
3 Te 0.7500 0.7500 0.7500  4 Be 2.61

Distance to the lowest polymorph of the same formula   0.0 kJ/mol of formula units
Magnetization   0.02 μB/atom
Raw total energy   -16.14 eV for the cell shown
Symmetry   F-43m (216)